Compound: KTcTe2Au
Source: Alexandria via LeMat-Bulk
Functional: GGA-PBE
Structure: optimized geometry

Cell and atoms, written as CIF:
```
data_KTcTe2Au
_cell_length_a 5.649
_cell_length_b 5.649
_cell_length_c 5.231
_cell_angle_alpha 90.00
_cell_angle_beta 90.00
_cell_angle_gamma 90.00
_symmetry_space_group_name_H-M 'P 4/m m m'
_symmetry_Int_Tables_number 123
_symmetry_space_group_name_Hall '-P 4 2'
loop_
_atom_site_label
_atom_site_type_symbol
_atom_site_fract_x
_atom_site_fract_y
_atom_site_fract_z
_atom_site_occupancy
K1 K 0.000 0.000 0.000 1
Tc1 Tc 0.500 0.500 0.000 1
Te1 Te 0.000 0.500 0.500 1
Au1 Au 0.500 0.500 0.500 1
```

Properties
The volume comes out at 167 Å³/f.u. For the total DFT energy (no corrections), the calculation gives -18.26 eV per cell. As for the formation energy from raw total energies: 0.553 eV/atom.

Compound: Cs2CaSeCl6
Source: Alexandria via LeMat-Bulk
Functional: GGA-PBE
Structure: optimized geometry

Cell and atoms, written as CIF:
```
data_Cs2CaSeCl6
_cell_length_a 7.373
_cell_length_b 7.373
_cell_length_c 12.915
_cell_angle_alpha 90.00
_cell_angle_beta 90.00
_cell_angle_gamma 90.00
_symmetry_space_group_name_H-M 'I 4/m m m'
_symmetry_Int_Tables_number 139
_symmetry_space_group_name_Hall '-I 4 2'
loop_
_atom_site_label
_atom_site_type_symbol
_atom_site_fract_x
_atom_site_fract_y
_atom_site_fract_z
_atom_site_occupancy
Cs1 Cs 0.000 0.500 0.250 1
Ca1 Ca 0.000 0.000 0.000 1
Se1 Se 0.000 0.000 0.500 1
Cl1 Cl 0.000 0.000 0.205 1
Cl2 Cl 0.234 0.234 0.500 1
```

Properties
The volume comes out at 351 Å³/f.u. For the total DFT energy (no corrections), the calculation gives -67.47 eV per cell. As for the formation energy from raw total energies: -1.546 eV/atom. As for the excess energy over the best structure of this formula in the dataset: 0.00 eV per formula unit.

Compound: BaMgN3
Source: Alexandria via LeMat-Bulk
Functional: GGA-PBE
Structure: optimized geometry

Cell and atoms, written as CIF:
```
data_BaMgN3
_cell_length_a 4.494
_cell_length_b 4.494
_cell_length_c 4.494
_cell_angle_alpha 90.00
_cell_angle_beta 90.00
_cell_angle_gamma 90.00
_symmetry_space_group_name_H-M 'P m -3 m'
_symmetry_Int_Tables_number 221
_symmetry_space_group_name_Hall '-P 4 2 3'
loop_
_atom_site_label
_atom_site_type_symbol
_atom_site_fract_x
_atom_site_fract_y
_atom_site_fract_z
_atom_site_occupancy
Ba1 Ba 0.000 0.000 0.000 1
Mg1 Mg 0.500 0.500 0.500 1
N1 N 0.000 0.000 0.500 1
```

Properties
The volume comes out at 91 Å³/f.u. For the total DFT energy (no corrections), the calculation gives -18.27 eV per cell. As for the formation energy from raw total energies: 2.045 eV/atom.